Compound: CdCuCl2
Source: the Alexandria database
Functional: GGA-PBE
Structure: relaxed

Cell lengths 3.4046, 3.4046, 7.8705 Å; angles 90.00, 90.00, 90.00 degrees
Atoms (fractional coordinates):
Cd: 0.0000 0.0000 0.0000
Cu: 0.5000 0.5000 0.4862
Cl: 0.0000 0.0000 0.3845
Cl: 0.5000 0.5000 0.7730

Computed properties:
Polymorph energy (0 for the lowest one)   162 meV/atom
SG   P4mm